1.
DFT (PBE) results for a relaxed Ag2RuBr crystal.

Geometry as extended XYZ:
```
4
Lattice="3.835 -2.176 1.945 0.441 -4.792 -0.261 3.359 -1.959 -2.846" Properties=species:S:1:pos:R:3 pbc="T T T"
Br 0.000 0.000 0.000
Ag 1.909 -2.232 -0.290
Ru 3.818 -4.464 -0.581
Ag 5.726 -6.695 -0.871
```

Summary:
As for the uncorrected formation energy: 0.91 eV per atom. For the volume, the calculation gives 19.784 Å³ per atom. For the final energy, the calculation gives -13.02 eV for the cell shown. The space group is Fm-3m (225).

=====

2.
DFT (PBE) results for a relaxed Tl3BiAu2 crystal.

Geometry as extended XYZ:
```
24
Lattice="9.819 0.000 -2.523 0.000 9.420 0.000 -0.942 0.000 7.308" Properties=species:S:1:pos:R:3 pbc="T T T"
Bi 4.469 1.547 3.079
Au 8.075 2.188 0.335
Tl 2.791 4.862 3.018
Tl 1.108 0.685 3.003
Au 6.183 6.898 -0.465
Au 5.892 6.738 3.995
Au 2.694 2.522 5.250
Tl 3.330 5.395 -0.610
Tl 5.547 4.025 5.396
Au 7.424 2.028 3.183
Tl 3.456 8.305 4.949
Au 1.454 7.392 1.603
Tl 6.086 4.558 1.767
Au 2.985 2.682 0.790
Tl 0.706 0.152 6.683
Bi 0.030 3.163 0.686
Tl 8.171 9.268 -1.897
Tl 0.041 3.595 4.751
Bi 4.408 7.873 1.706
Tl 5.422 1.115 -0.164
Tl 7.769 8.735 1.782
Tl 8.836 5.825 0.034
Au 0.803 7.232 4.451
Bi 8.847 6.257 4.099
```

Summary:
The value obtained for the formation energy is -0.19 eV/f.u. For the volume, the calculation gives 27.232 Å³ per atom. For the final energy, the calculation gives -70.92 eV for the cell shown. The space group is P2_1/c (14).

=====

3.
DFT (PBE) results for a relaxed Sm3Cd4Ag4 crystal.

Geometry as extended XYZ:
```
11
Lattice="-0.701 3.338 -0.501 -3.642 -1.219 -2.967 -11.868 0.838 10.244" Properties=species:S:1:pos:R:3 pbc="T T T"
Ag -7.569 0.370 1.203
Cd -10.420 2.548 7.766
Ag -3.061 1.039 -0.633
Sm -10.977 0.289 5.405
Ag -13.150 1.919 7.408
Sm -5.234 2.669 1.370
Cd -5.791 0.410 -0.991
Cd -6.751 0.957 3.924
Cd -9.460 2.001 2.851
Ag -8.641 2.587 5.571
Sm 0.000 0.000 0.000
```

Summary:
The value obtained for the formation energy is -2.78 eV/f.u. For the volume, the calculation gives 23.443 Å³ per atom. For the final energy, the calculation gives -32.00 eV for the cell shown. The space group is P-1 (2).

=====

4.
DFT (PBE) results for a relaxed NdHoSc2 crystal.

Geometry as extended XYZ:
```
4
Lattice="-0.318 -4.942 3.048 1.252 -4.106 -2.488 4.261 -3.150 2.395" Properties=species:S:1:pos:R:3 pbc="T T T"
Sc 3.777 -4.635 0.704
Ho 2.161 -6.528 3.013
Nd 5.076 -7.685 1.443
Sc 2.114 -7.584 -0.213
```

Summary:
The value obtained for the formation energy is 0.22 eV/f.u. For the volume, the calculation gives 28.533 Å³ per atom. For the final energy, the calculation gives -21.79 eV for the cell shown. The space group is I4/mmm (139).

=====

5.
DFT (PBE) results for a relaxed PrDy5Ru4 crystal.

Geometry as extended XYZ:
```
10
Lattice="-3.022 -1.485 -0.564 0.327 -1.767 2.902 -8.819 14.264 9.678" Properties=species:S:1:pos:R:3 pbc="T T T"
Ru -2.051 3.317 2.250
Dy -4.219 3.018 4.320
Ru -6.768 10.947 7.427
Ru -3.633 5.877 3.987
Pr 0.000 0.000 0.000
Dy -2.684 0.535 2.635
Dy -7.295 7.994 7.696
Dy -8.831 10.477 9.381
Dy -5.757 5.506 6.008
Ru -5.186 8.387 5.690
```

Summary:
The value obtained for the formation energy is -2.87 eV/f.u. For the volume, the calculation gives 22.566 Å³ per atom. For the final energy, the calculation gives -67.77 eV for the cell shown. The space group is P4/mmm (123).

=====

6.
DFT (PBE) results for a relaxed ScTiSnPd2 crystal.

Geometry as extended XYZ:
```
5
Lattice="-1.759 1.758 4.009 0.759 -4.350 2.240 4.317 1.410 1.275" Properties=species:S:1:pos:R:3 pbc="T T T"
Sn 1.659 -0.591 3.762
Pd 2.159 0.705 0.638
Sc 0.000 0.000 0.000
Ti 0.380 -2.175 1.120
Pd -0.879 0.879 2.004
```

Summary:
The value obtained for the formation energy is 2.47 eV/f.u. For the volume, the calculation gives 22.035 Å³ per atom. For the final energy, the calculation gives -26.15 eV for the cell shown. The space group is P4/mmm (123).

=====

7.
DFT (PBE) results for a relaxed Ac2Zn2InPd5 crystal.

Geometry as extended XYZ:
```
20
Lattice="3.849 0.000 0.000 0.000 10.270 0.000 0.000 0.000 10.270" Properties=species:S:1:pos:R:3 pbc="T T T"
Pd 1.925 5.135 0.000
Zn 0.000 3.946 1.189
Zn 0.000 6.324 9.081
Pd 1.925 8.090 9.633
Ac 0.000 1.852 3.283
Pd 1.925 4.498 2.955
Pd 1.925 9.633 2.180
In 0.000 5.135 5.135
Zn 0.000 1.189 6.324
Pd 1.925 0.000 5.135
Pd 1.925 5.773 7.316
Pd 1.925 2.955 5.773
Zn 0.000 9.081 3.946
In 0.000 0.000 0.000
Ac 0.000 6.988 1.852
Ac 0.000 3.283 8.418
Pd 1.925 2.180 0.637
Ac 0.000 8.418 6.988
Pd 1.925 0.637 8.090
Pd 1.925 7.316 4.498
```

Summary:
The value obtained for the formation energy is -6.33 eV/f.u. For the volume, the calculation gives 20.302 Å³ per atom. For the final energy, the calculation gives -91.59 eV for the cell shown. The space group is P4/mbm (127).

=====

8.
DFT (PBE) results for a relaxed ZnPbN2 crystal.

Geometry as extended XYZ:
```
16
Lattice="-3.822 -2.273 3.572 2.967 -5.321 -0.211 3.911 1.965 5.435" Properties=species:S:1:pos:R:3 pbc="T T T"
N -0.685 -1.114 2.117
N -1.571 -4.023 3.602
N 0.292 -2.941 6.554
N 3.778 -2.112 5.987
Zn -0.175 -3.113 2.375
Pb -0.593 -4.684 5.488
N 0.979 -6.147 4.980
N 1.688 -3.328 3.247
N 2.665 -5.155 7.684
Pb 4.211 -4.245 6.353
N 1.227 0.012 4.610
Zn 2.284 -5.284 3.624
Zn 1.329 -3.647 8.198
Pb 1.742 -2.080 5.089
Pb -3.062 -2.518 4.225
Zn -1.129 -1.476 6.949
```

Summary:
As for the uncorrected formation energy: 0.47 eV per atom. For the volume, the calculation gives 15.166 Å³ per atom. For the final energy, the calculation gives -78.98 eV for the cell shown. The space group is Pna2_1 (33).

=====

The calculation returns the following theoretical density values, one per record and in order: 8.32 12.36 8.58 5.81 9.99 6.40 10.07 8.23 g/cm³.